Model i:
Compound: MnCuS3
Source: the Alexandria database
Functional: PBE
Structure: optimized geometry

a = 4.511 Å, b = 4.511 Å, c = 4.511 Å
α = 90.00°, β = 90.00°, γ = 90.00°
Last column: magnetic moment on the atom in μB.
Fractional coordinates of all 5 atoms:
1 Cu 0.500 0.500 0.500  0.00
2 S 0.000 0.500 0.000  0.01
3 S 0.000 0.000 0.500  -0.02
4 S 0.500 0.000 0.000  0.06
5 Mn 0.000 0.000 0.000  2.86

Values from the calculation:
volume = 92 Å³ per cell

***

Model ii:
Compound: MnCuS3
Source: the Alexandria database
Functional: PBE
Structure: optimized geometry

a = 4.506 Å, b = 4.506 Å, c = 4.506 Å
α = 90.00°, β = 90.00°, γ = 90.00°
Last column: magnetic moment on the atom in μB.
Fractional coordinates of all 5 atoms:
1 S 0.000 0.500 0.000  -0.03
2 S 0.500 0.000 0.000  -0.04
3 S 0.000 0.000 0.500  -0.02
4 Mn 0.500 0.500 0.500  4.42
5 Cu 0.000 0.000 0.000  0.01

Values from the calculation:
volume = 91 Å³ per cell

***

Energy comparison, zero being the most stable, in meV per atom: model i 0; model ii 102.

***

Model i:
Compound: Mn3CuS
Source: the Alexandria database
Functional: PBE
Structure: optimized geometry

a = 4.563 Å, b = 4.563 Å, c = 4.563 Å
α = 90.00°, β = 90.00°, γ = 90.00°
Last column: magnetic moment on the atom in μB.
Fractional coordinates of all 5 atoms:
1 Mn 0.000 0.500 0.000  3.87
2 Mn 0.000 0.000 0.500  4.09
3 Mn 0.500 0.000 0.000  3.61
4 S 0.500 0.500 0.500  0.01
5 Cu 0.000 0.000 0.000  0.21

Values from the calculation:
volume = 95 Å³ per cell

***

Model ii:
Compound: Mn3CuS
Source: the Alexandria database
Functional: PBE
Structure: optimized geometry

a = 4.289 Å, b = 4.289 Å, c = 4.289 Å
α = 90.00°, β = 90.00°, γ = 90.00°
Last column: magnetic moment on the atom in μB.
Fractional coordinates of all 5 atoms:
1 Cu 0.500 0.500 0.500  -0.11
2 Mn 0.000 0.000 0.500  -3.14
3 Mn 0.000 0.500 0.000  -3.23
4 Mn 0.500 0.000 0.000  -3.39
5 S 0.000 0.000 0.000  0.05

Values from the calculation:
volume = 79 Å³ per cell

***

Energy comparison, zero being the most stable, in meV per atom: model i 502; model ii 0.